An optimized crystal structure of Ho4InPbN. Source: Alexandria via LeMat-Bulk, functional PBE-GGA.

## Properties
Uncorrected energy = -77.65 eV per cell

Cell and atoms, written as POSCAR:
```
Ho4InPbN
1.0
6.6507 0.0000 0.0000
0.0000 6.6500 0.0000
-3.3253 0.0000 8.0258
In Ho N Pb
2 8 2 2
Cartesian
3.3253 4.9875 1.7716
0.0000 1.6625 6.2542
-1.6627 0.0000 4.0129
0.0000 4.9875 1.4856
3.3253 1.6625 1.4267
-1.6627 3.3250 4.0129
0.0000 4.9875 6.5990
1.6627 3.3250 4.0129
3.3253 1.6625 6.5402
1.6627 0.0000 4.0129
3.3253 1.6625 4.0358
0.0000 4.9875 3.9899
3.3253 4.9875 6.3206
0.0000 1.6625 1.7052
```